Entry 1:
! PBE TmCuSnTe3, relaxed; values from VASP
! - Energy above the most stable polymorph in this dataset: 24.5 kJ/mol of formula units
&SYSTEM
  ibrav = 0, nat = 24, ntyp = 4
/
ATOMIC_SPECIES
Tm 168.93 Tm.upf
Cu 63.55 Cu.upf
Sn 118.71 Sn.upf
Te 127.60 Te.upf
CELL_PARAMETERS angstrom
12.301 0.000 0.000
0.000 4.357 0.000
0.000 0.000 12.278
ATOMIC_POSITIONS crystal
Tm 0.030 0.250 0.190
Tm 0.470 0.750 0.690
Tm 0.530 0.250 0.310
Tm 0.970 0.750 0.810
Cu 0.233 0.750 0.300
Cu 0.267 0.250 0.800
Cu 0.733 0.750 0.200
Cu 0.767 0.250 0.700
Sn 0.199 0.250 0.474
Sn 0.301 0.750 0.974
Sn 0.699 0.250 0.026
Sn 0.801 0.750 0.526
Te 0.032 0.750 0.368
Te 0.099 0.250 0.938
Te 0.218 0.750 0.687
Te 0.282 0.250 0.187
Te 0.401 0.750 0.438
Te 0.468 0.250 0.868
Te 0.532 0.750 0.132
Te 0.599 0.250 0.562
Te 0.718 0.750 0.813
Te 0.782 0.250 0.313
Te 0.901 0.750 0.062
Te 0.968 0.250 0.632

Entry 2:
! PBE TmCuSnTe3, relaxed; values from VASP
! - Energy above the most stable polymorph in this dataset: 0.0 kJ/mol of formula units
&SYSTEM
  ibrav = 0, nat = 12, ntyp = 4
/
ATOMIC_SPECIES
Tm 168.93 Tm.upf
Cu 63.55 Cu.upf
Sn 118.71 Sn.upf
Te 127.60 Te.upf
CELL_PARAMETERS angstrom
2.115 -7.224 0.000
2.115 7.224 0.000
0.000 0.000 11.037
ATOMIC_POSITIONS crystal
Tm 0.000 0.000 0.000
Tm 0.000 0.000 0.500
Cu 0.470 0.530 0.750
Cu 0.530 0.470 0.250
Sn 0.235 0.765 0.250
Sn 0.765 0.235 0.750
Te 0.085 0.915 0.750
Te 0.355 0.645 0.563
Te 0.355 0.645 0.937
Te 0.645 0.355 0.063
Te 0.645 0.355 0.437
Te 0.915 0.085 0.250